1.
## Cs2LaIrCl6 (GGA-PBE)

Data for a relaxed structure of Cs2LaIrCl6.

```
data_Cs2LaIrCl6
_cell_length_a 7.604
_cell_length_b 7.604
_cell_length_c 7.604
_cell_angle_alpha 119.45
_cell_angle_beta 119.45
_cell_angle_gamma 90.95
_space_group_name_H-M_alt 'P 1'
_space_group_IT_number 1
loop_
_space_group_symop_operation_xyz
'x,y,z'
loop_
_atom_site_label
_atom_site_type_symbol
_atom_site_fract_x
_atom_site_fract_y
_atom_site_fract_z
Cs1 Cs 0.250 0.750 0.500
Cs2 Cs 0.750 0.250 0.500
La1 La 0.000 0.000 0.000
Ir1 Ir 0.500 0.500 0.000
Cl1 Cl 0.257 0.257 0.514
Cl2 Cl 0.257 0.743 0.000
Cl3 Cl 0.261 0.261 0.000
Cl4 Cl 0.739 0.739 0.000
Cl5 Cl 0.743 0.257 0.000
Cl6 Cl 0.743 0.743 0.486
```

Values from the calculation:
Uncorrected energy ... -4.1395 eV/atom
Space group ... I4/mmm, No. 139
Fermi-level density of states ... 0.00 states/eV/atom
Crystal system ... tetragonal


2.
## LaTa3Pb (GGA-PBE)

Data for a relaxed structure of LaTa3Pb.

```
data_LaTa3Pb
_cell_length_a 5.228
_cell_length_b 5.228
_cell_length_c 5.228
_cell_angle_alpha 90.00
_cell_angle_beta 90.00
_cell_angle_gamma 90.00
_space_group_name_H-M_alt 'P 1'
_space_group_IT_number 1
loop_
_space_group_symop_operation_xyz
'x,y,z'
loop_
_atom_site_label
_atom_site_type_symbol
_atom_site_fract_x
_atom_site_fract_y
_atom_site_fract_z
La1 La 0.000 0.000 0.000
Ta1 Ta 0.000 0.500 0.500
Ta2 Ta 0.500 0.000 0.500
Ta3 Ta 0.500 0.500 0.000
Pb1 Pb 0.500 0.500 0.500
```

Values from the calculation:
Uncorrected energy ... -7.0195 eV/atom
Space group ... Pm-3m, No. 221
Fermi-level density of states ... 2.17 states/eV/atom
Crystal system ... cubic
DFT formation energy ... 1.819 eV/atom


3.
## LaGeNF2 (GGA-PBE)

Data for a relaxed structure of LaGeNF2.

```
data_LaGeNF2
_cell_length_a 4.410
_cell_length_b 4.410
_cell_length_c 3.924
_cell_angle_alpha 90.00
_cell_angle_beta 90.00
_cell_angle_gamma 90.00
_space_group_name_H-M_alt 'P 1'
_space_group_IT_number 1
loop_
_space_group_symop_operation_xyz
'x,y,z'
loop_
_atom_site_label
_atom_site_type_symbol
_atom_site_fract_x
_atom_site_fract_y
_atom_site_fract_z
La1 La 0.000 0.000 0.000
Ge1 Ge 0.500 0.500 0.500
N1 N 0.500 0.500 0.000
F1 F 0.000 0.500 0.500
F2 F 0.500 0.000 0.500
```

Values from the calculation:
Uncorrected energy ... -5.7507 eV/atom
Space group ... P4/mmm, No. 123
Fermi-level density of states ... 0.44 states/eV/atom
Crystal system ... tetragonal


4.
## TbPrGaOs (GGA-PBE)

Data for a relaxed structure of TbPrGaOs.

```
data_TbPrGaOs
_cell_length_a 5.046
_cell_length_b 5.046
_cell_length_c 5.046
_cell_angle_alpha 60.00
_cell_angle_beta 60.00
_cell_angle_gamma 60.00
_space_group_name_H-M_alt 'P 1'
_space_group_IT_number 1
loop_
_space_group_symop_operation_xyz
'x,y,z'
loop_
_atom_site_label
_atom_site_type_symbol
_atom_site_fract_x
_atom_site_fract_y
_atom_site_fract_z
Tb1 Tb 0.000 0.000 0.000
Pr1 Pr 0.500 0.500 0.500
Ga1 Ga 0.250 0.250 0.250
Os1 Os 0.750 0.750 0.750
```

Values from the calculation:
Uncorrected energy ... -6.1401 eV/atom
Space group ... F-43m, No. 216
Fermi-level density of states ... 0.63 states/eV/atom
Crystal system ... cubic
DFT formation energy ... -0.224 eV/atom


5.
## SbRh2Pb (GGA-PBE)

Data for a relaxed structure of SbRh2Pb.

```
data_SbRh2Pb
_cell_length_a 6.096
_cell_length_b 6.096
_cell_length_c 6.096
_cell_angle_alpha 39.89
_cell_angle_beta 39.89
_cell_angle_gamma 39.89
_space_group_name_H-M_alt 'P 1'
_space_group_IT_number 1
loop_
_space_group_symop_operation_xyz
'x,y,z'
loop_
_atom_site_label
_atom_site_type_symbol
_atom_site_fract_x
_atom_site_fract_y
_atom_site_fract_z
Sb1 Sb 0.000 0.000 0.000
Rh1 Rh 0.390 0.390 0.390
Rh2 Rh 0.598 0.598 0.598
Pb1 Pb 0.821 0.821 0.821
```

Values from the calculation:
Uncorrected energy ... -5.7138 eV/atom
Space group ... R3m, No. 160
Fermi-level density of states ... 0.72 states/eV/atom
Crystal system ... trigonal


6.
## CuNiGe (GGA-PBE)

Data for a relaxed structure of CuNiGe.

```
data_CuNiGe
_cell_length_a 6.125
_cell_length_b 6.125
_cell_length_c 3.650
_cell_angle_alpha 90.00
_cell_angle_beta 90.00
_cell_angle_gamma 120.00
_space_group_name_H-M_alt 'P 1'
_space_group_IT_number 1
loop_
_space_group_symop_operation_xyz
'x,y,z'
loop_
_atom_site_label
_atom_site_type_symbol
_atom_site_fract_x
_atom_site_fract_y
_atom_site_fract_z
Cu1 Cu 0.000 0.580 0.000
Cu2 Cu 0.420 0.420 0.000
Cu3 Cu 0.580 0.000 0.000
Ni1 Ni 0.000 0.250 0.500
Ni2 Ni 0.250 0.000 0.500
Ni3 Ni 0.750 0.750 0.500
Ge1 Ge 0.000 0.000 0.000
Ge2 Ge 0.333 0.667 0.500
Ge3 Ge 0.667 0.333 0.500
```

Values from the calculation:
Uncorrected energy ... -4.9317 eV/atom
Space group ... P-62m, No. 189
Fermi-level density of states ... 0.36 states/eV/atom
Crystal system ... hexagonal
DFT formation energy ... -0.100 eV/atom


7.
## Pm6Pr2DyMg (GGA-PBE)

Data for a relaxed structure of Pm6Pr2DyMg.

```
data_Pm6Pr2DyMg
_cell_length_a 8.940
_cell_length_b 8.940
_cell_length_c 9.541
_cell_angle_alpha 93.42
_cell_angle_beta 93.42
_cell_angle_gamma 117.34
_space_group_name_H-M_alt 'P 1'
_space_group_IT_number 1
loop_
_space_group_symop_operation_xyz
'x,y,z'
loop_
_atom_site_label
_atom_site_type_symbol
_atom_site_fract_x
_atom_site_fract_y
_atom_site_fract_z
Pm1 Pm 0.002 0.572 0.198
Pm2 Pm 0.130 0.766 0.553
Pm3 Pm 0.234 0.870 0.947
Pm4 Pm 0.287 0.502 0.389
Pm5 Pm 0.428 0.998 0.302
Pm6 Pm 0.498 0.713 0.111
Pm7 Pm 0.502 0.287 0.889
Pm8 Pm 0.572 0.002 0.698
Pm9 Pm 0.713 0.498 0.611
Pm10 Pm 0.766 0.130 0.053
Pm11 Pm 0.870 0.234 0.447
Pm12 Pm 0.998 0.428 0.802
Pr1 Pr 0.208 0.309 0.047
Pr2 Pr 0.309 0.208 0.547
Pr3 Pr 0.691 0.792 0.453
Pr4 Pr 0.792 0.691 0.953
Dy1 Dy 0.020 0.980 0.250
Dy2 Dy 0.980 0.020 0.750
Mg1 Mg 0.411 0.589 0.750
Mg2 Mg 0.589 0.411 0.250
```

Values from the calculation:
Uncorrected energy ... -4.3172 eV/atom
Space group ... C2/c, No. 15
Fermi-level density of states ... 1.24 states/eV/atom
Crystal system ... monoclinic
DFT formation energy ... 0.109 eV/atom


8.
## DyY14Pu (GGA-PBE)

Data for a relaxed structure of DyY14Pu.

```
data_DyY14Pu
_cell_length_a 7.136
_cell_length_b 7.136
_cell_length_c 10.034
_cell_angle_alpha 90.00
_cell_angle_beta 90.00
_cell_angle_gamma 90.00
_space_group_name_H-M_alt 'P 1'
_space_group_IT_number 1
loop_
_space_group_symop_operation_xyz
'x,y,z'
loop_
_atom_site_label
_atom_site_type_symbol
_atom_site_fract_x
_atom_site_fract_y
_atom_site_fract_z
Dy1 Dy 0.000 0.000 0.000
Y1 Y 0.000 0.000 0.500
Y2 Y 0.000 0.500 0.000
Y3 Y 0.000 0.500 0.500
Y4 Y 0.252 0.252 0.247
Y5 Y 0.252 0.252 0.753
Y6 Y 0.252 0.748 0.247
Y7 Y 0.252 0.748 0.753
Y8 Y 0.500 0.000 0.000
Y9 Y 0.500 0.000 0.500
Y10 Y 0.500 0.500 0.500
Y11 Y 0.748 0.252 0.247
Y12 Y 0.748 0.252 0.753
Y13 Y 0.748 0.748 0.247
Y14 Y 0.748 0.748 0.753
Pu1 Pu 0.500 0.500 0.000
```

Values from the calculation:
Uncorrected energy ... -6.7938 eV/atom
Space group ... P4/mmm, No. 123
Fermi-level density of states ... 1.86 states/eV/atom
Crystal system ... tetragonal
DFT formation energy ... 0.046 eV/atom


9.
## Er3TmBi3 (GGA-PBE)

Data for a relaxed structure of Er3TmBi3.

```
data_Er3TmBi3
_cell_length_a 9.305
_cell_length_b 9.305
_cell_length_c 9.305
_cell_angle_alpha 90.00
_cell_angle_beta 90.00
_cell_angle_gamma 90.00
_space_group_name_H-M_alt 'P 1'
_space_group_IT_number 1
loop_
_space_group_symop_operation_xyz
'x,y,z'
loop_
_atom_site_label
_atom_site_type_symbol
_atom_site_fract_x
_atom_site_fract_y
_atom_site_fract_z
Er1 Er 0.073 0.427 0.573
Er2 Er 0.176 0.176 0.176
Er3 Er 0.176 0.824 0.324
Er4 Er 0.324 0.176 0.824
Er5 Er 0.324 0.824 0.676
Er6 Er 0.427 0.573 0.073
Er7 Er 0.573 0.073 0.427
Er8 Er 0.676 0.324 0.824
Er9 Er 0.676 0.676 0.676
Er10 Er 0.824 0.324 0.176
Er11 Er 0.824 0.676 0.324
Er12 Er 0.927 0.927 0.927
Tm1 Tm 0.075 0.575 0.925
Tm2 Tm 0.425 0.425 0.425
Tm3 Tm 0.575 0.925 0.075
Tm4 Tm 0.925 0.075 0.575
Bi1 Bi 0.000 0.251 0.875
Bi2 Bi 0.000 0.751 0.625
Bi3 Bi 0.125 0.500 0.249
Bi4 Bi 0.249 0.125 0.500
Bi5 Bi 0.251 0.875 0.000
Bi6 Bi 0.375 0.500 0.749
Bi7 Bi 0.500 0.249 0.125
Bi8 Bi 0.500 0.749 0.375
Bi9 Bi 0.625 0.000 0.751
Bi10 Bi 0.749 0.375 0.500
Bi11 Bi 0.751 0.625 0.000
Bi12 Bi 0.875 0.000 0.251
```

Values from the calculation:
Uncorrected energy ... -4.9204 eV/atom
Space group ... P2_13, No. 198
Fermi-level density of states ... 1.13 states/eV/atom
Crystal system ... cubic
DFT formation energy ... -0.663 eV/atom


10.
## InSn2As (GGA-PBE)

Data for a relaxed structure of InSn2As.

```
data_InSn2As
_cell_length_a 7.867
_cell_length_b 7.867
_cell_length_c 7.867
_cell_angle_alpha 131.40
_cell_angle_beta 131.40
_cell_angle_gamma 71.18
_space_group_name_H-M_alt 'P 1'
_space_group_IT_number 1
loop_
_space_group_symop_operation_xyz
'x,y,z'
loop_
_atom_site_label
_atom_site_type_symbol
_atom_site_fract_x
_atom_site_fract_y
_atom_site_fract_z
In1 In 0.000 0.000 0.000
In2 In 0.750 0.250 0.500
Sn1 Sn 0.141 0.625 0.016
Sn2 Sn 0.375 0.391 0.516
Sn3 Sn 0.609 0.125 0.984
Sn4 Sn 0.875 0.859 0.484
As1 As 0.250 0.750 0.500
As2 As 0.500 0.500 0.000
```

Values from the calculation:
Uncorrected energy ... -3.8358 eV/atom
Space group ... I-42d, No. 122
Fermi-level density of states ... 0.04 states/eV/atom
Crystal system ... tetragonal
DFT formation energy ... 0.013 eV/atom


The highest Fermi-level density of states belongs to which entry?
LaTa3Pb